No. 1
A relaxed NdCd3Au crystal. Source: the Alexandria database, functional PBE.

Formation energy ... -1.8 eV per formula unit
Uncorrected energy ... -25.270 eV for the cell shown
Size of the total moment ... 0.0 Bohr magnetons per cell
Density of states at the Fermi level ... 2.19 states/eV/f.u.

Cell lengths 5.613, 6.018, 7.574 Å; angles 90.00, 109.93, 90.00 degrees
Element x y z (fractional)
Nd1 0.233 0.250 0.133
Nd2 0.767 0.750 0.867
Cd1 0.197 0.010 0.695
Cd2 0.197 0.490 0.695
Cd3 0.343 0.750 0.413
Cd4 0.657 0.250 0.587
Cd5 0.803 0.510 0.305
Cd6 0.803 0.990 0.305
Au1 0.338 0.750 0.042
Au2 0.662 0.250 0.958

---

No. 2
A relaxed Nd11Cd9Au4 crystal. Source: the Alexandria database, functional PBE.

Formation energy ... -11.8 eV per formula unit
Uncorrected energy ... -85.572 eV for the cell shown
Size of the total moment ... 0.0 Bohr magnetons per cell
Density of states at the Fermi level ... 22.22 states/eV/f.u.

Cell lengths 13.684, 13.684, 3.804 Å; angles 90.00, 90.00, 112.73 degrees
Element x y z (fractional)
Nd1 0.000 0.000 0.000
Nd2 0.068 0.413 0.000
Nd3 0.163 0.837 0.000
Nd4 0.297 0.297 0.000
Nd5 0.368 0.632 0.000
Nd6 0.413 0.068 0.000
Nd7 0.587 0.932 0.000
Nd8 0.632 0.368 0.000
Nd9 0.703 0.703 0.000
Nd10 0.837 0.163 0.000
Nd11 0.932 0.587 0.000
Cd1 0.068 0.213 0.500
Cd2 0.159 0.635 0.500
Cd3 0.213 0.068 0.500
Cd4 0.365 0.841 0.500
Cd5 0.500 0.500 0.500
Cd6 0.635 0.159 0.500
Cd7 0.787 0.932 0.500
Cd8 0.841 0.365 0.500
Cd9 0.932 0.787 0.500
Au1 0.250 0.449 0.500
Au2 0.449 0.250 0.500
Au3 0.551 0.750 0.500
Au4 0.750 0.551 0.500

---

No. 3
A relaxed Nd2Cd3Au3 crystal. Source: the Alexandria database, functional PBE.

Formation energy ... -4.5 eV per formula unit
Uncorrected energy ... -26.590 eV for the cell shown
Size of the total moment ... 0.0 Bohr magnetons per cell
Density of states at the Fermi level ... 4.70 states/eV/f.u.

Cell lengths 8.745, 8.745, 8.745 Å; angles 33.79, 33.79, 33.79 degrees
Element x y z (fractional)
Nd1 0.000 0.000 0.000
Nd2 0.490 0.490 0.490
Cd1 0.243 0.243 0.243
Cd2 0.618 0.618 0.618
Cd3 0.747 0.747 0.747
Au1 0.123 0.123 0.123
Au2 0.364 0.364 0.364
Au3 0.874 0.874 0.874